[1]
Mn2In2Fe | PBE | optimized geometry

The value obtained for the uncorrected energy is -5.9157 eV/atom.

The structure belongs to space group I4/mmm (No. 139); the cell edges are 3.112, 3.112 and 17.030 Å and the angles 90.00°, 90.00° and 90.00°. The asymmetric unit holds Mn at (0.000, 0.500, 0.250), In at (0.000, 0.000, 0.109) and Fe at (0.000, 0.000, 0.500).

[2]
MnInFe3 | PBE | optimized geometry

The value obtained for the uncorrected energy is -5.3218 eV/atom.

The structure belongs to space group Pm-3m (No. 221); the cell edges are 4.682, 4.682 and 4.682 Å and the angles 90.00°, 90.00° and 90.00°. The asymmetric unit holds Mn at (0.000, 0.000, 0.000), In at (0.500, 0.500, 0.500) and Fe at (0.000, 0.500, 0.500).

[3]
MnInFe | PBE | optimized geometry

The value obtained for the uncorrected energy is -6.5211 eV/atom.

The structure belongs to space group I4mm (No. 107); the cell edges are 2.877, 2.877 and 10.807 Å and the angles 90.00°, 90.00° and 90.00°. The asymmetric unit holds Mn at (0.000, 0.000, 0.000), In at (0.000, 0.000, 0.310) and Fe at (0.000, 0.000, 0.627).

[4]
Mn2InFe2 | PBE | optimized geometry

The value obtained for the uncorrected energy is -7.2388 eV/atom.

The structure belongs to space group P4/mbm (No. 127); the cell edges are 6.964, 6.964 and 2.610 Å and the angles 90.00°, 90.00° and 90.00°. The asymmetric unit holds Mn at (0.117, 0.383, 0.000), In at (0.000, 0.000, 0.000) and Fe at (0.166, 0.666, 0.500).

These records have E_form values of 261; 1031; 78; 175 kJ/mol of formula units, in the order they appear.
These records have mass density values of 8.0; 5.5; 8.4; 8.8 Mg/m³, in the order they appear.